(1)
Material: AlTe2AsP
Method: DFT, PBE
State: optimized geometry

```
5
Lattice="5.348 0.000 0.000 0.000 5.348 0.000 0.000 0.000 4.594" Properties=species:S:1:pos:R:3 pbc="T T T"
Al 0.000 0.000 0.000
Te 0.000 2.674 2.297
Te 2.674 0.000 2.297
As 2.674 2.674 0.000
P 0.000 0.000 2.297
```

* total magnetic moment: 0.00 μB/cell
* raw total energy: -3.490 eV/atom
* volume: 131.42 Å³ per cell
* ΔE_f (raw): 527 meV per atom


(2)
Material: Y2AlAsP
Method: DFT, PBE
State: optimized geometry

```
5
Lattice="5.290 0.000 0.000 0.000 5.290 0.000 0.000 0.000 4.683" Properties=species:S:1:pos:R:3 pbc="T T T"
Y 0.000 2.645 0.000
Y 2.645 0.000 0.000
Al 0.000 0.000 2.342
As 2.645 2.645 2.342
P 2.645 2.645 0.000
```

* total magnetic moment: 0.00 μB/cell
* raw total energy: -5.576 eV/atom
* volume: 131.04 Å³ per cell


(3)
Material: PaAlAs2
Method: DFT, PBE
State: optimized geometry

```
4
Lattice="4.562 0.000 0.000 0.000 4.562 0.000 0.000 0.000 3.757" Properties=species:S:1:pos:R:3 pbc="T T T"
Pa 0.000 0.000 0.000
Al 2.281 2.281 0.000
As 0.000 2.281 1.879
As 2.281 0.000 1.879
```

* total magnetic moment: 0.00 μB/cell
* raw total energy: -6.302 eV/atom
* volume: 78.20 Å³ per cell


(4)
Material: Pa2AlAs
Method: DFT, PBE
State: optimized geometry

```
12
Lattice="3.327 0.000 0.000 -1.663 2.881 0.000 0.000 0.000 31.289" Properties=species:S:1:pos:R:3 pbc="T T T"
Pa 0.000 0.000 3.093
Pa 0.000 0.000 28.196
Pa 0.000 1.921 17.766
Pa 0.000 1.921 23.952
Pa 1.663 0.960 7.337
Pa 1.663 0.960 13.523
Al 0.000 0.000 0.000
Al 0.000 1.921 20.859
Al 1.663 0.960 10.430
As 0.000 0.000 15.644
As 0.000 1.921 5.215
As 1.663 0.960 26.074
```

* total magnetic moment: 0.00 μB/cell
* raw total energy: -6.722 eV/atom
* volume: 299.86 Å³ per cell


(5)
Material: PaAl2As
Method: DFT, PBE
State: optimized geometry

```
4
Lattice="4.137 0.000 0.000 0.000 4.137 0.000 0.000 0.000 4.587" Properties=species:S:1:pos:R:3 pbc="T T T"
Pa 0.000 0.000 0.000
Al 0.000 2.068 2.294
Al 2.068 0.000 2.294
As 2.068 2.068 0.000
```

* total magnetic moment: 0.00 μB/cell
* raw total energy: -5.870 eV/atom
* volume: 78.50 Å³ per cell


(6)
Material: PaAlAs2
Method: DFT, PBE
State: optimized geometry

```
12
Lattice="3.252 0.000 0.000 -1.626 2.817 0.000 0.000 0.000 28.209" Properties=species:S:1:pos:R:3 pbc="T T T"
Pa 0.000 0.000 0.000
Pa 0.000 1.878 18.806
Pa 1.626 0.939 9.403
Al 0.000 0.000 14.105
Al 0.000 1.878 4.702
Al 1.626 0.939 23.508
As 0.000 0.000 2.923
As 0.000 0.000 25.286
As 0.000 1.878 15.883
As 0.000 1.878 21.730
As 1.626 0.939 6.480
As 1.626 0.939 12.327
```

* total magnetic moment: 0.04 μB/cell
* raw total energy: -5.542 eV/atom
* volume: 258.40 Å³ per cell


Question: What is the formula in the fifth record?
Answer: PaAl2As